# 1
The following is a DFT calculation (PBE-GGA) of Sc2NiPd2 after structural relaxation.

Calculated values
**Formation enthalpy at 0 K**: -334 meV/atom
**Calculated total energy**: -30.2 eV/cell
**Calculated density**: 6.22 g/cm3

Geometry as POSCAR:
```
Sc2NiPd2
1.0
3.554 -3.554 0.000
3.554 3.554 0.000
-3.554 0.000 3.818
Ni Pd Sc
1 2 2
Direct
0.000 0.000 0.000 Ni
0.336 0.336 0.672 Pd
0.664 0.664 0.328 Pd
0.250 0.750 0.500 Sc
0.750 0.250 0.500 Sc
```



# 2
The following is a DFT calculation (PBE-GGA) of ScNiPd after structural relaxation.

Calculated values
**Formation enthalpy at 0 K**: -264 meV/atom
**Calculated total energy**: -17.9 eV/cell
**Calculated density**: 6.33 g/cm3

Geometry as POSCAR:
```
ScNiPd
1.0
-3.934 -0.927 1.379
-2.289 2.953 2.069
-3.397 1.776 -1.884
Sc Pd Ni
1 1 1
Direct
0.750 0.750 0.750 Sc
0.000 0.000 0.000 Pd
0.250 0.250 0.250 Ni
```



# 3
The following is a DFT calculation (PBE-GGA) of ScNi4Pd after structural relaxation.

Calculated values
**Formation enthalpy at 0 K**: -395 meV/atom
**Calculated total energy**: -36.1 eV/cell
**Calculated density**: 8.29 g/cm3

Geometry as POSCAR:
```
ScNi4Pd
1.0
0.000 3.381 3.381
3.381 0.000 3.381
3.381 3.381 0.000
Ni Pd Sc
4 1 1
Direct
0.375 0.375 0.375 Ni
0.375 0.375 0.876 Ni
0.876 0.375 0.375 Ni
0.375 0.876 0.375 Ni
0.000 0.000 0.000 Pd
0.750 0.750 0.750 Sc
```



# 4
The following is a DFT calculation (PBE-GGA) of ScTlNiPd after structural relaxation.

Calculated values
**Calculated total energy**: -20.5 eV/cell
**Calculated density**: 9.94 g/cm3

Geometry as POSCAR:
```
ScTlNiPd
1.0
0.000 3.259 3.259
3.259 0.000 3.259
3.259 3.259 0.000
Tl Ni Sc Pd
1 1 1 1
Direct
0.000 0.000 0.000 Tl
0.750 0.750 0.750 Ni
0.250 0.250 0.250 Sc
0.500 0.500 0.500 Pd
```



# 5
The following is a DFT calculation (PBE-GGA) of ScTlNiPd after structural relaxation.

Calculated values
**Calculated total energy**: -21.1 eV/cell
**Calculated density**: 10.00 g/cm3

Geometry as POSCAR:
```
ScTlNiPd
1.0
0.000 3.253 3.253
3.253 0.000 3.253
3.253 3.253 0.000
Sc Pd Ni Tl
1 1 1 1
Direct
0.500 0.500 0.500 Sc
0.250 0.250 0.250 Pd
0.750 0.750 0.750 Ni
0.000 0.000 0.000 Tl
```



# 6
The following is a DFT calculation (PBE-GGA) of ScZnNiPd after structural relaxation.

Calculated values
**Formation enthalpy at 0 K**: -406 meV/atom
**Calculated total energy**: -20.0 eV/cell
**Calculated density**: 7.43 g/cm3

Geometry as POSCAR:
```
ScZnNiPd
1.0
0.000 3.135 3.135
3.135 0.000 3.135
3.135 3.135 0.000
Pd Ni Zn Sc
1 1 1 1
Direct
0.500 0.500 0.500 Pd
0.750 0.750 0.750 Ni
0.000 0.000 0.000 Zn
0.250 0.250 0.250 Sc
```



# 7
The following is a DFT calculation (PBE-GGA) of ScZnNiPd after structural relaxation.

Calculated values
**Formation enthalpy at 0 K**: -585 meV/atom
**Calculated total energy**: -20.7 eV/cell
**Calculated density**: 7.59 g/cm3

Geometry as POSCAR:
```
ScZnNiPd
1.0
0.000 3.112 3.112
3.112 0.000 3.112
3.112 3.112 0.000
Pd Zn Ni Sc
1 1 1 1
Direct
0.250 0.250 0.250 Pd
0.000 0.000 0.000 Zn
0.750 0.750 0.750 Ni
0.500 0.500 0.500 Sc
```



# 8
The following is a DFT calculation (PBE-GGA) of Tl2NiPd3Se6 after structural relaxation.

Calculated values
**Calculated total energy**: -51.4 eV/cell
**Calculated density**: 7.51 g/cm3

Geometry as POSCAR:
```
Tl2NiPd3Se6
1.0
7.340 0.000 0.000
-3.670 6.356 0.000
0.000 0.000 5.976
Se Tl Ni Pd
6 2 1 3
Direct
0.838 0.675 0.788 Se
0.675 0.838 0.212 Se
0.838 0.162 0.788 Se
0.325 0.162 0.788 Se
0.162 0.325 0.212 Se
0.162 0.838 0.212 Se
0.333 0.667 0.635 Tl
0.667 0.333 0.365 Tl
0.000 0.000 0.000 Ni
0.500 0.000 0.000 Pd
0.500 0.500 0.000 Pd
0.000 0.500 0.000 Pd
```



# 9
The following is a DFT calculation (PBE-GGA) of Si4NiPd3 after structural relaxation.

Calculated values
**Calculated total energy**: -45.0 eV/cell
**Calculated density**: 7.15 g/cm3

Geometry as POSCAR:
```
Si4NiPd3
1.0
4.533 0.000 0.000
0.000 3.975 0.000
-1.030 0.000 6.322
Pd Si Ni
3 4 1
Direct
0.243 0.500 0.725 Pd
0.325 0.500 0.195 Pd
0.841 0.000 0.273 Pd
0.719 0.500 0.553 Si
0.769 0.500 0.008 Si
0.360 0.000 0.471 Si
0.128 0.000 0.944 Si
0.615 0.000 0.832 Ni
```



# 10
The following is a DFT calculation (PBE-GGA) of Si3NiPd after structural relaxation.

Calculated values
**Calculated total energy**: -27.7 eV/cell
**Calculated density**: 5.73 g/cm3

Geometry as POSCAR:
```
Si3NiPd
1.0
0.285 4.267 4.083
2.526 5.322 -0.510
-3.659 -3.809 -2.659
Si Pd Ni
3 1 1
Direct
0.253 0.753 0.500 Si
0.753 0.253 0.500 Si
0.414 0.414 0.000 Si
0.068 0.068 0.000 Pd
0.626 0.626 0.000 Ni
```



# 11
The following is a DFT calculation (PBE-GGA) of SiNiPd2 after structural relaxation.

Calculated values
**Calculated total energy**: -22.4 eV/cell
**Calculated density**: 9.17 g/cm3

Geometry as POSCAR:
```
SiNiPd2
1.0
1.481 -3.384 2.101
-0.768 -0.422 4.158
-2.687 -2.993 1.371
Pd Ni Si
2 1 1
Direct
0.000 0.000 0.000 Pd
0.750 0.750 0.750 Pd
0.250 0.250 0.250 Ni
0.500 0.500 0.500 Si
```



# 12
The following is a DFT calculation (PBE-GGA) of Si4Ni3Pd after structural relaxation.

Calculated values
**Calculated total energy**: -47.0 eV/cell
**Calculated density**: 6.72 g/cm3

Geometry as POSCAR:
```
Si4Ni3Pd
1.0
-0.895 4.357 -1.820
-2.422 -1.360 -2.065
-4.008 0.728 4.221
Si Ni Pd
4 3 1
Direct
0.341 0.500 0.123 Si
0.338 0.500 0.624 Si
0.653 0.000 0.393 Si
0.653 0.000 0.858 Si
0.166 0.000 0.383 Ni
0.839 0.500 0.628 Ni
0.165 0.000 0.863 Ni
0.846 0.500 0.128 Pd
```



Q: What is the formula in the tenth record?
A: Si3NiPd



Q: calculated density of number 3 (ScNi4Pd)?
A: 8.29 g/cm3